The following is a DFT calculation (PBE) of an optimized crystal structure of Nd2ErHf.

For the formation enthalpy at 0 K, the calculation gives 0.17 eV/atom. The calculation puts the mass density at 8794 kg/m3. Its spin magnetization is 0.00 μB per cell. As for the energy above the most stable polymorph in this dataset: 0.0 meV per atom.

The structure belongs to space group R3m (No. 160, hexagonal axes); the cell edges are 3.4837, 3.4837 and 34.1856 Å and the angles 90.00°, 90.00° and 120.00°. The inequivalent atoms are Nd at (0.0000, 0.0000, 0.0000), Nd at (0.0000, 0.0000, 0.1763), Er at (0.0000, 0.0000, 0.4205) and Hf at (0.0000, 0.0000, 0.5885).